CsInSnSe3 | Alexandria | PBE-GGA | relaxed; uncorrected formation energy = -696 meV per atom; volume = 39.79 Å³/atom; E_tot = -3.70 eV/atom; space group = No. 11
1.0
10.185 0.000 0.000
0.000 4.362 0.000
-2.699 0.000 10.748
Cs In Sn Se
2 2 2 6
Cartesian
1.270 1.090 2.028 Cs
6.216 3.271 8.720 Cs
-0.719 1.090 6.711 In
8.205 3.271 4.037 In
1.505 3.271 9.312 Sn
5.981 1.090 1.436 Sn
-0.921 1.090 9.198 Se
0.351 3.271 5.463 Se
3.999 3.271 1.257 Se
3.487 1.090 9.490 Se
7.135 1.090 5.284 Se
8.406 3.271 1.550 Se